RbBaLiCd | PBE | optimized geometry

Structure (extended XYZ):
```
4
Lattice="0.000 4.406 4.406 4.406 0.000 4.406 4.406 4.406 0.000" Properties=species:S:1:pos:R:3 pbc="T T T"
Rb 0.000 0.000 0.000
Ba 4.406 4.406 4.406
Li 6.609 6.609 6.609
Cd 2.203 2.203 2.203
```

Computed properties:
Total moment: 0.00 μB/f.u.
DOS at the Fermi energy: 5.27 states/eV per cell
Formation energy: 47 meV per atom